This record from Alexandria describes a geometry-optimized ZnInAs2 structure. The functional is PBE-GGA.

Summary:
Its formation energy is 0.181 eV per atom. As for the crystal system: trigonal. The calculation puts the total energy at -3.15 eV/atom. The density of states at the Fermi level comes out at 0.717 states/eV/cell.

a b c (Å): 9.9106 9.9106 9.9106
angles (deg): 18.34 18.34 18.34
Last column: nearest neighbours and their distance in Å.
Element x y z (fractional)
In: 0.2500 0.2500 0.2500  6 In 3.16, 6 As 3.40
Zn: 0.7500 0.7500 0.7500  6 As 2.70
As: 0.4850 0.4850 0.4850  3 Zn 2.70
As: 0.0150 0.0150 0.0150  3 Zn 2.70